[1]
VASP calculation (GGA-PBE) on a geometry-optimized Li2CdF4 structure.

## Properties
- Polymorph energy (0 for the lowest one): 0 meV per atom
- V: 162 Å³ per cell
- Crystal system: orthorhombic

a = 6.693 Å, b = 6.164 Å, c = 5.754 Å
α = 71.59°, β = 54.43°, γ = 57.11°
Fractional coordinates of all 14 atoms:
1 Li 0.417 0.180 0.231
2 F 0.660 0.194 0.795
3 F 0.146 0.232 0.139
4 F 0.206 0.694 0.705
5 F 0.605 0.306 0.295
6 F 0.035 0.732 0.361
7 F 0.650 0.806 0.205
8 Cd 0.782 0.500 0.500
9 F 0.517 0.768 0.861
10 F 0.128 0.268 0.639
11 Li 0.398 0.680 0.269
12 Cd 0.032 0.000 0.000
13 Li 0.347 0.320 0.731
14 Li 0.828 0.820 0.769

=====

[2]
VASP calculation (GGA-PBE) on a geometry-optimized Cu2BRu structure.

## Properties
- V: 94 Å³ per cell
- Crystal system: tetragonal
- Calculated formation energy: 0.48 eV per atom

a = 3.193 Å, b = 3.193 Å, c = 9.518 Å
α = 80.34°, β = 80.34°, γ = 90.00°
Site moments in Bohr magnetons follow the coordinates.
Fractional coordinates of all 8 atoms:
1 B 0.250 0.750 0.500  -0.01
2 Ru 0.000 0.000 0.000  0.19
3 Cu 0.130 0.625 0.250  0.00
4 Cu 0.875 0.870 0.750  0.00
5 Cu 0.375 0.380 0.750  0.00
6 Cu 0.620 0.125 0.250  0.00
7 Ru 0.750 0.250 0.500  0.18
8 B 0.500 0.500 0.000  -0.01

=====

[3]
VASP calculation (GGA-PBE) on a geometry-optimized BeTlAsBr2 structure.

## Properties
- Polymorph energy (0 for the lowest one): 0 meV per atom
- V: 129 Å³ per cell
- Crystal system: tetragonal

a = 5.369 Å, b = 5.369 Å, c = 4.457 Å
α = 90.00°, β = 90.00°, γ = 90.00°
Site moments in Bohr magnetons follow the coordinates.
Fractional coordinates of all 5 atoms:
1 Tl 0.500 0.500 0.500  0.01
2 As 0.000 0.000 0.500  0.49
3 Br 0.500 0.000 0.000  0.09
4 Be 0.000 0.000 0.000  -0.01
5 Br 0.000 0.500 0.000  0.09